Entry 1:
{
  "formula": "MgNi",
  "functional": "SCAN",
  "state": "single point on PBEsol structure",
  "cell": [[2.798, 0.000, 0.000], [1.399, 2.423, 0.000], [1.399, 0.808, 8.557]],
  "species": ["Mg", "Mg", "Ni", "Ni"],
  "frac_coords": [[0.886, 0.886, 0.341], [0.114, 0.114, 0.659], [0.369, 0.369, 0.894], [0.631, 0.631, 0.106]],
  "total_energy_ev_per_atom": -10.353,
  "crystal_system": "trigonal",
  "formation_energy_kj_per_mol_atoms": 21
}

Entry 2:
{
  "formula": "NaHgSb2",
  "functional": "SCAN",
  "state": "single point on PBEsol structure",
  "cell": [[-3.213, -3.847, 3.198], [2.663, -1.872, 5.950], [-4.449, 2.724, 4.334]],
  "species": ["Sb", "Hg", "Sb", "Na", "Na", "Sb", "Sb", "Hg"],
  "frac_coords": [[0.875, 0.445, 0.055], [0.750, 0.500, 0.500], [0.070, 0.055, 0.555], [0.500, 0.000, 0.000], [0.250, 0.500, 0.500], [0.680, 0.945, 0.445], [0.375, 0.555, 0.945], [0.000, 0.000, 0.000]],
  "total_energy_ev_per_atom": -36.836,
  "raw_formation_energy_ev_per_atom": -0.110,
  "crystal_system": "tetragonal"
}

Entry 3:
{
  "formula": "Sc2BeCu",
  "functional": "SCAN",
  "state": "single point on PBEsol structure",
  "cell": [[-3.171, -0.261, -2.181], [0.758, -3.724, -0.657], [-1.081, 0.918, 4.873]],
  "species": ["Sc", "Cu", "Sc", "Be"],
  "frac_coords": [[0.000, 0.000, 0.000], [0.250, 0.750, 0.500], [0.750, 0.250, 0.500], [0.500, 0.500, 0.000]],
  "total_energy_ev_per_atom": -11.924,
  "crystal_system": "tetragonal",
  "formation_energy_kj_per_mol_atoms": 8
}